Record 1
Density functional theory data (PBE) for a geometry-optimized YSiAg structure.

POSCAR file:
```
YSiAg
1.0
4.2240 -0.0036 0.0039
-2.1081 5.1959 -0.0082
-2.1164 -0.7343 5.5538
Si Y Ag
2 2 2
Cartesian
0.4966 0.8192 3.4827
0.4984 2.3524 1.6311
-1.6144 3.0695 3.6024
2.6094 0.1020 1.5114
-1.6179 0.0476 4.8424
2.6130 3.1241 0.2715
```

Summary:
N(E_F), states/eV/cell: 2.51
Calculated density, g cm⁻³: 6.128
Symmetry: C2/m (12)
Energy, eV/cell: -32.788

---

Record 2
Density functional theory data (PBE) for a geometry-optimized YSiAg structure.

POSCAR file:
```
YSiAg
1.0
-0.1823 -1.2349 -5.8217
4.6612 -3.0983 0.4707
-3.2254 -2.2309 0.5736
Si Y Ag
2 2 2
Cartesian
-2.1022 -3.2277 -1.2662
-1.1356 -1.5730 -3.0838
3.1172 -3.3819 0.1046
0.6534 -4.0247 -2.5606
0.2306 -2.7095 0.1848
-2.2451 -3.7279 -4.0029
```

Summary:
N(E_F), states/eV/cell: 4.57
Calculated density, g cm⁻³: 6.021
Symmetry: Cm (8)
Energy, eV/cell: -31.739

---

Record 3
Density functional theory data (PBE) for a geometry-optimized Y4SiAg structure.

POSCAR file:
```
Y4SiAg
1.0
5.9057 0.8927 1.5303
1.9166 5.5883 1.7648
1.5407 1.0152 5.8832
Y Si Ag
4 1 1
Cartesian
6.4757 3.2542 4.2045
4.2788 3.3158 6.3953
3.5034 2.8049 3.4343
4.4680 5.6174 4.3225
0.0000 0.0000 0.0000
7.0222 5.6221 6.8838
```

Summary:
N(E_F), states/eV/cell: 6.61
Calculated density, g cm⁻³: 4.925
Symmetry: F-43m (216)
Energy, eV/cell: -31.013

---

Record 4
Density functional theory data (PBE) for a geometry-optimized YSiAg structure.

POSCAR file:
```
YSiAg
1.0
4.5389 0.0000 0.0000
0.0000 4.5389 0.0000
0.0000 0.0000 6.7362
Y Ag Si
2 2 2
Cartesian
0.0000 0.0000 3.3681
2.2695 2.2695 3.3681
2.2695 0.0000 1.0735
0.0000 2.2695 5.6627
2.2695 0.0000 5.2729
0.0000 2.2695 1.4633
```

Summary:
N(E_F), states/eV/cell: 4.70
Calculated density, g cm⁻³: 5.381
Symmetry: P4/nmm (129)
Energy, eV/cell: -29.001

---

Record 5
Density functional theory data (PBE) for a geometry-optimized YSiAg structure.

POSCAR file:
```
YSiAg
1.0
4.3939 0.0000 0.0000
-2.1970 3.8053 0.0000
0.0000 0.0000 3.7036
Y Ag Si
1 1 1
Cartesian
0.0000 2.5368 2.4689
0.0000 0.0000 0.6173
2.1970 1.2684 0.6174
```

Summary:
N(E_F), states/eV/cell: 1.29
Calculated density, g cm⁻³: 6.030
Symmetry: P-6m2 (187)
Energy, eV/cell: -16.274

---

Record 6
Density functional theory data (PBE) for a geometry-optimized YSiAg structure.

POSCAR file:
```
YSiAg
1.0
-0.1320 -2.0645 3.2055
-2.2272 -3.0899 -2.0817
6.4968 -3.3916 -1.9166
Ag Si Y
2 2 2
Cartesian
1.5824 -5.1250 -1.4302
3.8963 -6.3331 -2.1126
1.6156 -3.0162 -0.0704
-0.4063 -1.9606 0.5260
-0.5750 -5.0655 0.7894
3.7871 -5.2163 0.8719
```

Summary:
N(E_F), states/eV/cell: 3.04
Calculated density, g cm⁻³: 5.953
Symmetry: Pmmm (47)
Energy, eV/cell: -32.482

---

Record 7
Density functional theory data (PBE) for a geometry-optimized YSi2Ag2 structure.

POSCAR file:
```
YSi2Ag2
1.0
7.7550 0.0000 0.0000
0.0000 7.7550 0.0000
0.0000 0.0000 3.1572
Y Si Ag
2 4 4
Cartesian
0.0000 0.0000 0.0000
3.8775 3.8775 0.0000
5.0419 1.1644 0.0000
1.1644 2.7131 0.0000
6.5906 5.0419 0.0000
2.7131 6.5906 0.0000
2.7680 1.1095 1.5786
1.1095 4.9870 1.5786
4.9870 6.6455 1.5786
6.6455 2.7680 1.5786
```

Summary:
N(E_F), states/eV/cell: 4.80
Calculated density, g cm⁻³: 6.311
Symmetry: P4/mbm (127)
Energy, eV/cell: -45.742

---

Record 8
Density functional theory data (PBE) for a geometry-optimized Y5Si2Ag2 structure.

POSCAR file:
```
Y5Si2Ag2
1.0
7.0547 0.0000 2.5608
0.0000 7.5062 0.0000
0.8358 0.0000 8.6952
Y Ag Si
10 4 4
Cartesian
0.5662 5.0737 2.3897
1.5601 1.3205 2.7505
3.7970 1.3205 7.5858
3.5273 3.7531 1.2804
7.3243 2.4326 8.8662
5.0874 2.4326 4.0309
0.0000 0.0000 0.0000
2.8031 5.0737 7.2251
4.0935 6.1857 3.6701
6.3304 6.1857 8.5055
1.9857 0.0000 5.5274
5.9048 0.0000 5.7286
2.3775 3.7531 4.4482
5.5131 3.7531 6.8078
2.6885 6.6029 0.9759
0.8388 2.8498 0.3045
6.2159 4.6565 2.2563
4.3662 0.9033 1.5849
```

Summary:
N(E_F), states/eV/cell: 15.45
Calculated density, g cm⁻³: 5.354
Symmetry: Cmce (64)
Energy, eV/cell: -107.048

---

Record 9
Density functional theory data (PBE) for a geometry-optimized YSiAg structure.

POSCAR file:
```
YSiAg
1.0
-5.7837 3.9146 1.4743
-1.3673 -3.0067 2.6194
3.9448 3.5278 6.1086
Si Y Ag
4 4 4
Cartesian
0.9550 1.8497 7.7101
-2.9513 2.8998 6.8764
-0.2549 1.5358 3.3260
-4.1612 2.5859 2.4923
-0.4333 -1.5099 3.1290
-0.3947 3.5289 5.5408
-2.7729 5.9455 7.0734
-2.8115 0.9067 4.6616
-2.1478 0.8426 1.5422
-1.0585 3.5930 8.6601
0.3346 0.2953 5.6020
-3.5408 4.1403 4.6004
```

Summary:
N(E_F), states/eV/cell: 1.34
Calculated density, g cm⁻³: 6.141
Symmetry: Pnma (62)
Energy, eV/cell: -66.020

---

Record 10
Density functional theory data (PBE) for a geometry-optimized YSiAg structure.

POSCAR file:
```
YSiAg
1.0
-0.0497 -2.9306 -2.8912
1.1377 -2.7879 2.8076
-6.7064 -1.3419 4.4123
Y Si Ag
2 2 2
Cartesian
-4.6755 -2.1669 2.5140
-0.4570 -2.8518 3.1371
-2.1893 -3.1461 0.5329
-5.2719 -5.2424 2.7156
-2.8995 -4.7880 2.2087
0.1813 -2.6851 0.0240
```

Summary:
N(E_F), states/eV/cell: 4.33
Calculated density, g cm⁻³: 5.799
Symmetry: I4_1md (109)
Energy, eV/cell: -32.265

---

Record 11
Density functional theory data (PBE) for a geometry-optimized YSi3Ag structure.

POSCAR file:
```
YSi3Ag
1.0
-3.6989 3.7587 -0.6247
-0.4359 -1.2824 -5.1347
-3.7853 -3.5253 1.2017
Ag Si Y
1 3 1
Cartesian
-3.9600 -0.5245 -2.2789
-1.8926 -1.7626 0.6009
-1.8494 1.8794 -0.3124
-0.2179 -0.6412 -2.5674
0.0000 0.0000 0.0000
```

Summary:
N(E_F), states/eV/cell: 3.22
Calculated density, g cm⁻³: 3.116
Symmetry: Pm-3m (221)
Energy, eV/cell: -19.412

---

Record 12
Density functional theory data (PBE) for a geometry-optimized YbSi2Ag2 structure.

POSCAR file:
```
YbSi2Ag2
1.0
6.1185 0.0810 0.0000
3.1491 5.2465 0.0000
-4.6338 -2.6637 2.9790
Si Ag Yb
2 2 1
Cartesian
3.6439 2.0947 0.0000
5.6236 3.2328 0.0000
1.5745 2.6232 1.4895
3.0592 0.0405 1.4895
0.0000 0.0000 0.0000
```

Summary:
N(E_F), states/eV/cell: 14.58
Calculated density, g cm⁻³: 7.788
Symmetry: I4/mmm (139)
Energy, eV/cell: -19.698

---

Record 13
Density functional theory data (PBE) for a geometry-optimized ZnSiAg3 structure.

POSCAR file:
```
ZnSiAg3
1.0
4.8031 0.0000 0.0000
0.0000 4.8031 0.0000
0.0000 0.0000 4.8031
Ag Si Zn
3 1 1
Cartesian
2.4015 0.0000 0.0000
0.0000 0.0000 2.4015
0.0000 2.4015 0.0000
2.4015 2.4015 2.4015
0.0000 0.0000 0.0000
```

Summary:
N(E_F), states/eV/cell: 2.55
Calculated density, g cm⁻³: 6.251
Symmetry: Pm-3m (221)
Energy, eV/cell: -11.382

---

Record 14
Density functional theory data (PBE) for a geometry-optimized Zn2SiAg2 structure.

POSCAR file:
```
Zn2SiAg2
1.0
7.7800 0.0000 0.0000
0.0000 7.7800 0.0000
0.0000 0.0000 2.8371
Si Zn Ag
2 4 4
Cartesian
3.8900 3.8900 0.0000
0.0000 0.0000 0.0000
6.4682 2.5782 1.4186
2.5782 1.3118 1.4186
1.3118 5.2018 1.4186
5.2018 6.4682 1.4186
4.9091 1.0191 0.0000
1.0191 2.8709 0.0000
2.8709 6.7609 0.0000
6.7609 4.9091 0.0000
```

Summary:
N(E_F), states/eV/cell: 3.84
Calculated density, g cm⁻³: 7.245
Symmetry: P4/mbm (127)
Energy, eV/cell: -25.060

---

Record 15
Density functional theory data (PBE) for a geometry-optimized Zn2Si2Ag structure.

POSCAR file:
```
Zn2Si2Ag
1.0
3.4588 0.0000 0.0000
0.0000 3.4588 0.0000
1.7294 1.7294 7.0251
Zn Si Ag
2 2 1
Cartesian
3.4588 3.4588 5.6407
1.7294 1.7294 1.3843
3.4588 1.7294 3.5125
1.7294 3.4588 3.5125
0.0000 0.0000 0.0000
```

Summary:
N(E_F), states/eV/cell: 1.40
Calculated density, g cm⁻³: 5.826
Symmetry: I4/mmm (139)
Energy, eV/cell: -14.959

---

Record 16
Density functional theory data (PBE) for a geometry-optimized ZnSiAg3 structure.

POSCAR file:
```
ZnSiAg3
1.0
4.8089 0.0000 0.0000
0.0000 4.8089 0.0000
0.0000 0.0000 4.8089
Zn Ag Si
1 3 1
Cartesian
2.4044 2.4044 2.4044
0.0000 0.0000 2.4044
2.4044 0.0000 0.0000
0.0000 2.4044 0.0000
0.0000 0.0000 0.0000
```

Summary:
N(E_F), states/eV/cell: 2.18
Calculated density, g cm⁻³: 6.228
Symmetry: Pm-3m (221)
Energy, eV/cell: -12.851

---

Record 17
Density functional theory data (PBE) for a geometry-optimized Zn2Si4Ag structure.

POSCAR file:
```
Zn2Si4Ag
1.0
4.9469 0.0000 0.0000
0.0000 4.9469 0.0000
2.4734 2.4734 6.1284
Zn Si Ag
2 4 1
Cartesian
4.9469 4.9469 4.8755
2.4734 2.4734 1.2529
2.4734 2.4734 3.6188
4.9469 4.9469 2.5095
0.0000 2.4734 0.0000
2.4734 0.0000 0.0000
0.0000 0.0000 0.0000
```

Summary:
N(E_F), states/eV/cell: 3.60
Calculated density, g cm⁻³: 3.887
Symmetry: I4/mmm (139)
Energy, eV/cell: -20.702

---

Record 18
Density functional theory data (PBE) for a geometry-optimized Zn3SiAg structure.

POSCAR file:
```
Zn3SiAg
1.0
4.7365 0.0000 0.0000
0.0000 4.7365 0.0000
0.0000 0.0000 4.7365
Ag Zn Si
1 3 1
Cartesian
2.3683 2.3683 2.3683
0.0000 2.3683 0.0000
0.0000 0.0000 2.3683
2.3683 0.0000 0.0000
0.0000 0.0000 0.0000
```

Summary:
N(E_F), states/eV/cell: 2.23
Calculated density, g cm⁻³: 5.191
Symmetry: Pm-3m (221)
Energy, eV/cell: -9.668

---

Record 19
Density functional theory data (PBE) for a geometry-optimized Zn2Si2Ag structure.

POSCAR file:
```
Zn2Si2Ag
1.0
-3.2764 -4.6563 3.4293
-1.3436 -3.2206 -5.6567
3.2166 -1.9911 0.3696
Si Zn Ag
4 4 2
Cartesian
-2.4062 -4.5674 -3.6646
-0.9126 -1.7892 -1.6964
-2.2138 -3.3095 1.4371
-3.7074 -6.0878 -0.5311
-1.7321 -6.8107 -2.0715
0.0793 -4.0673 -3.0568
0.3287 -3.0574 0.2136
-1.4827 -5.8007 1.1990
-2.3100 -3.9385 -1.1137
0.0000 0.0000 0.0000
```

Summary:
N(E_F), states/eV/cell: 2.96
Calculated density, g cm⁻³: 5.832
Symmetry: P4/mbm (127)
Energy, eV/cell: -29.852

---

Record 20
Density functional theory data (PBE) for a geometry-optimized Zn2SiAg2 structure.

POSCAR file:
```
Zn2SiAg2
1.0
-4.2878 0.8215 -6.3358
2.2012 -6.9733 -2.3939
-2.2599 -1.1856 1.3757
Zn Ag Si
4 4 2
Cartesian
0.3098 -5.8181 -4.5054
-2.3964 -0.3337 -4.2242
-2.4020 -3.6083 -7.0557
0.3154 -2.5434 -1.6739
-3.9473 -2.1674 -5.2973
-2.2230 -5.7735 -5.5727
-2.1235 -1.5639 -1.7812
-0.3993 -5.1700 -2.0566
0.0000 0.0000 0.0000
-1.0433 -3.0759 -4.3648
```

Summary:
N(E_F), states/eV/cell: 3.60
Calculated density, g cm⁻³: 7.249
Symmetry: P4/mbm (127)
Energy, eV/cell: -25.008